Entry from Alexandria via LeMat-Bulk: crystalline Er5PuHg6 at its relaxed geometry (PBE-GGA).

The structure in extended XYZ format:
```
12
Lattice="5.008 -0.004 -1.403 -3.740 7.331 -3.732 -0.184 -0.995 8.979" Properties=species:S:1:pos:R:3 pbc="T T T"
Hg -1.710 4.638 3.516
Hg 2.795 1.695 0.328
Hg 0.196 6.105 0.678
Hg 1.408 3.267 5.011
Hg -0.323 3.066 -1.167
Hg 0.889 0.228 3.166
Er -0.673 6.012 -2.423
Er 0.542 3.166 1.922
Er -1.356 1.749 4.790
Er 1.758 0.320 6.267
Er -2.568 4.587 0.458
Pu 0.000 0.000 0.000
```

Properties
The calculation puts the formation energy at -0.41 eV per atom. The calculation puts the uncorrected energy at -3.66 eV per atom.



Entry from Alexandria via LeMat-Bulk: crystalline ErPu3Hg12 at its relaxed geometry (PBE-GGA).

The structure in extended XYZ format:
```
16
Lattice="-3.934 2.597 0.053 -1.991 -2.954 -3.079 -6.530 -10.177 13.986" Properties=species:S:1:pos:R:3 pbc="T T T"
Pu -1.610 -2.510 3.449
Pu -4.920 -7.667 10.536
Pu -3.265 -5.088 6.993
Hg -4.404 -2.499 5.246
Hg -7.712 -7.656 12.332
Hg -1.780 -2.699 0.140
Hg -3.433 -5.275 3.680
Hg -4.560 -2.669 1.909
Hg -2.962 -0.179 -1.513
Hg -5.089 -7.856 7.227
Hg -6.741 -10.431 10.766
Hg -7.895 -7.865 9.050
Hg -6.227 -5.267 5.480
Hg -2.751 0.076 1.707
Hg -6.060 -5.081 8.793
Er 0.000 0.000 0.000
```

Properties
The calculation puts the formation energy at -0.13 eV per atom. The calculation puts the uncorrected energy at -3.33 eV per atom.



Entry from Alexandria via LeMat-Bulk: crystalline ErPuHg at its relaxed geometry (PBE-GGA).

The structure in extended XYZ format:
```
3
Lattice="3.509 0.000 0.000 0.000 3.509 0.000 -1.754 -1.754 6.605" Properties=species:S:1:pos:R:3 pbc="T T T"
Er 0.000 0.000 4.221
Pu 0.000 0.000 0.098
Hg 1.754 1.754 2.286
```

Properties
The calculation puts the formation energy at -0.12 eV per atom. For the relative energy among the computed polymorphs, the calculation gives 0.0 kJ per mole of atoms. The calculation puts the uncorrected energy at -6.52 eV per atom.



Entry from Alexandria via LeMat-Bulk: crystalline ErPuHgRh at its relaxed geometry (PBE-GGA).

The structure in extended XYZ format:
```
4
Lattice="5.055 0.000 0.000 2.527 4.377 0.000 2.527 1.459 4.127" Properties=species:S:1:pos:R:3 pbc="T T T"
Pu 2.527 1.459 1.032
Hg 5.055 2.918 2.064
Er 7.582 4.377 3.095
Rh 0.000 0.000 0.000
```

Properties
The calculation puts the formation energy at -0.36 eV per atom. The calculation puts the uncorrected energy at -7.00 eV per atom.



Entry from Alexandria via LeMat-Bulk: crystalline ErPuThHg at its relaxed geometry (PBE-GGA).

The structure in extended XYZ format:
```
4
Lattice="5.352 0.000 0.000 2.676 4.635 0.000 2.676 1.545 4.370" Properties=species:S:1:pos:R:3 pbc="T T T"
Th 0.000 0.000 0.000
Er 5.352 3.090 2.185
Hg 2.676 1.545 1.093
Pu 8.028 4.635 3.278
```

Properties
The calculation puts the formation energy at 0.05 eV per atom. The calculation puts the uncorrected energy at -6.60 eV per atom.



Entry from Alexandria via LeMat-Bulk: crystalline ErPuZnHg at its relaxed geometry (PBE-GGA).

The structure in extended XYZ format:
```
4
Lattice="5.173 0.000 0.000 2.586 4.480 0.000 2.586 1.493 4.223" Properties=species:S:1:pos:R:3 pbc="T T T"
Pu 7.759 4.480 3.168
Zn 0.000 0.000 0.000
Er 2.586 1.493 1.056
Hg 5.173 2.986 2.112
```

Properties
The calculation puts the formation energy at -0.20 eV per atom. The calculation puts the uncorrected energy at -5.31 eV per atom.



Entry from Alexandria via LeMat-Bulk: crystalline RbErHg2 at its relaxed geometry (PBE-GGA).

The structure in extended XYZ format:
```
4
Lattice="4.091 0.000 0.000 2.046 3.543 0.000 2.046 1.181 9.545" Properties=species:S:1:pos:R:3 pbc="T T T"
Hg 6.137 3.543 7.621
Hg 2.046 1.181 1.924
Er 0.000 0.000 0.000
Rb 4.091 2.362 4.772
```

Properties
The calculation puts the formation energy at -0.13 eV per atom. For the relative energy among the computed polymorphs, the calculation gives 10.5 kJ per mole of atoms. The calculation puts the uncorrected energy at -1.66 eV per atom.



Entry from Alexandria via LeMat-Bulk: crystalline RbErHg2 at its relaxed geometry (PBE-GGA).

The structure in extended XYZ format:
```
4
Lattice="-0.001 -0.663 -3.773 0.516 -3.739 0.657 -8.523 -1.141 0.204" Properties=species:S:1:pos:R:3 pbc="T T T"
Er 0.257 -2.201 -1.558
Rb -4.004 -2.771 -1.456
Hg -6.902 -0.924 0.165
Hg -1.622 -0.217 0.039
```

Properties
The calculation puts the formation energy at -0.24 eV per atom. For the relative energy among the computed polymorphs, the calculation gives 0.0 kJ per mole of atoms. The calculation puts the uncorrected energy at -1.77 eV per atom.



Entry from Alexandria via LeMat-Bulk: crystalline Rb2ErHg2Se4 at its relaxed geometry (PBE-GGA).

The structure in extended XYZ format:
```
9
Lattice="-1.751 3.114 -2.235 2.321 -3.912 -7.267 -6.691 -3.846 3.855" Properties=species:S:1:pos:R:3 pbc="T T T"
Rb -5.523 -1.833 -2.201
Rb -0.598 -2.811 -3.448
Se -6.759 -3.043 1.054
Se -2.240 -1.710 -0.628
Se 0.638 -1.600 -6.702
Se -3.881 -2.933 -5.020
Er 0.000 0.000 0.000
Hg -2.425 -5.260 -5.429
Hg -3.696 0.617 -0.219
```

Properties
The calculation puts the uncorrected energy at -3.31 eV per atom. The calculation puts the uncorrected formation energy at -0.97 eV/atom.



Entry from Alexandria via LeMat-Bulk: crystalline RbEr2HgTe4 at its relaxed geometry (PBE-GGA).

The structure in extended XYZ format:
```
16
Lattice="-1.803 -3.228 -2.472 3.257 -3.564 6.280 -14.459 1.627 8.423" Properties=species:S:1:pos:R:3 pbc="T T T"
Er -6.545 -2.188 3.631
Er -1.328 -2.775 0.592
Er -11.678 -2.390 11.639
Er -6.460 -2.977 8.600
Te -4.237 -1.821 1.468
Te -0.046 -2.554 3.369
Te -8.276 -3.138 6.134
Te -12.959 -2.611 8.862
Te -4.730 -2.027 6.097
Te 0.000 0.000 0.000
Te -8.768 -3.343 10.763
Te -7.230 0.814 4.211
Rb -2.752 -5.086 4.648
Rb -10.253 -0.079 7.583
Hg -2.712 -1.577 4.038
Hg -10.293 -3.588 8.193
```

Properties
The calculation puts the uncorrected energy at -3.83 eV per atom. The calculation puts the uncorrected formation energy at -0.96 eV/atom.



Entry from Alexandria via LeMat-Bulk: crystalline RbErHgTe3 at its relaxed geometry (PBE-GGA).

The structure in extended XYZ format:
```
12
Lattice="4.514 0.000 0.000 0.000 9.647 -0.529 0.000 -3.073 10.577" Properties=species:S:1:pos:R:3 pbc="T T T"
Te 1.128 5.958 4.331
Te 1.128 -1.645 9.188
Te 3.385 8.219 0.860
Te 3.385 4.002 1.379
Te 1.128 2.572 8.670
Te 3.385 0.616 5.718
Rb 3.385 5.227 7.465
Rb 1.128 1.347 2.584
Er 3.385 0.509 8.960
Er 1.128 6.065 1.088
Hg 3.385 7.646 3.606
Hg 1.128 -1.072 6.442
```

Properties
The calculation puts the uncorrected energy at -3.48 eV per atom. The calculation puts the uncorrected formation energy at -0.94 eV/atom.



Entry from Alexandria via LeMat-Bulk: crystalline Er4ReHg at its relaxed geometry (PBE-GGA).

The structure in extended XYZ format:
```
12
Lattice="6.094 0.345 -1.116 -2.059 6.853 -2.639 0.223 -0.254 7.619" Properties=species:S:1:pos:R:3 pbc="T T T"
Er 4.358 4.502 3.371
Er 5.857 0.603 4.263
Er -1.599 6.342 -0.399
Er 1.313 5.094 -1.911
Er 3.302 1.508 1.532
Er 2.945 1.851 5.775
Er 0.956 5.436 2.332
Er -0.100 2.442 0.493
Hg 3.362 4.464 0.346
Hg 0.896 2.481 3.517
Re 4.792 0.010 6.775
Re -0.534 6.934 -2.911
```

Properties
The calculation puts the formation energy at -0.22 eV per atom. The calculation puts the uncorrected energy at -5.39 eV per atom.



Entry from Alexandria via LeMat-Bulk: crystalline Er2ReHg at its relaxed geometry (PBE-GGA).

The structure in extended XYZ format:
```
4
Lattice="3.470 0.000 0.000 0.000 3.470 0.000 0.000 0.000 7.490" Properties=species:S:1:pos:R:3 pbc="T T T"
Re 1.735 1.735 0.000
Hg 1.735 1.735 3.745
Er 0.000 0.000 1.638
Er 0.000 0.000 5.852
```

Properties
The calculation puts the formation energy at -0.16 eV per atom. The calculation puts the uncorrected energy at -5.63 eV per atom.



Entry from Alexandria via LeMat-Bulk: crystalline Er5HgRh4 at its relaxed geometry (PBE-GGA).

The structure in extended XYZ format:
```
10
Lattice="-1.113 2.176 2.403 -1.614 -2.575 1.585 14.444 -3.170 9.560" Properties=species:S:1:pos:R:3 pbc="T T T"
Rh 5.841 -1.282 3.866
Rh 11.391 -2.500 7.539
Rh 3.053 -0.670 2.021
Rh 8.603 -1.888 5.694
Er 5.858 -1.784 6.774
Er 0.361 -0.578 3.135
Er 11.356 -2.991 10.412
Er 3.099 -1.179 4.947
Er 8.618 -2.390 8.600
Hg 0.000 0.000 0.000
```

Properties
The calculation puts the formation energy at -0.85 eV per atom. The calculation puts the uncorrected energy at -6.10 eV per atom.



Entry from Alexandria via LeMat-Bulk: crystalline Er6Hg2Rh at its relaxed geometry (PBE-GGA).

The structure in extended XYZ format:
```
9
Lattice="-3.662 -1.284 -3.187 4.722 -0.581 -5.192 0.465 -6.107 5.882" Properties=species:S:1:pos:R:3 pbc="T T T"
Er 1.783 -1.087 -5.568
Er -2.361 -5.317 0.898
Er 3.885 -2.656 -3.395
Er 0.061 -5.615 -1.765
Er 1.463 -2.358 -0.732
Er -0.724 -0.778 -2.811
Rh 0.000 0.000 0.000
Hg 0.663 -4.693 1.128
Hg 0.862 -3.280 -3.625
```

Properties
The calculation puts the formation energy at -0.29 eV per atom. The calculation puts the uncorrected energy at -4.21 eV per atom.



Entry from Alexandria via LeMat-Bulk: crystalline Er2Hg2Rh at its relaxed geometry (PBE-GGA).

The structure in extended XYZ format:
```
5
Lattice="3.380 0.000 -0.542 -0.087 3.379 -0.542 -0.145 -0.149 9.899" Properties=species:S:1:pos:R:3 pbc="T T T"
Rh 0.000 0.000 0.000
Er 1.908 1.958 1.090
Er 1.239 1.272 7.725
Hg 2.555 2.622 5.122
Hg 0.592 0.608 3.693
```

Properties
The calculation puts the formation energy at -0.59 eV per atom. The calculation puts the uncorrected energy at -4.00 eV per atom.



Entry from Alexandria via LeMat-Bulk: crystalline Er6HgRh5 at its relaxed geometry (PBE-GGA).

The structure in extended XYZ format:
```
12
Lattice="-1.082 -1.724 -4.425 5.322 -4.367 0.401 -6.482 -1.996 4.998" Properties=species:S:1:pos:R:3 pbc="T T T"
Rh -1.997 -2.544 -1.214
Rh 2.661 -2.183 0.201
Rh 0.669 -4.722 -1.019
Rh -0.244 -5.542 2.189
Rh -2.911 -3.365 1.993
Er -2.103 -5.238 -0.153
Er -5.622 -4.007 2.891
Er -0.138 -2.849 1.127
Er -4.704 -3.103 -0.349
Er 3.381 -4.079 -1.917
Er 2.463 -4.983 1.323
Hg 0.000 0.000 0.000
```

Properties
The calculation puts the formation energy at -0.83 eV per atom. The calculation puts the uncorrected energy at -6.20 eV per atom.



Entry from Alexandria via LeMat-Bulk: crystalline Er6Hg5Rh at its relaxed geometry (PBE-GGA).

The structure in extended XYZ format:
```
12
Lattice="4.880 -0.029 1.626 0.039 7.309 0.013 0.007 -0.015 8.114" Properties=species:S:1:pos:R:3 pbc="T T T"
Er 2.449 1.689 0.816
Er 0.784 1.750 5.814
Er 0.804 5.529 5.821
Er 4.142 5.515 3.939
Er 4.122 1.736 3.933
Er 2.470 5.591 0.823
Hg 3.292 3.625 6.457
Hg 0.020 3.654 0.007
Hg 1.590 -0.015 3.364
Hg 3.297 -0.029 6.377
Hg 1.634 3.640 3.296
Rh 0.000 0.000 0.000
```

Properties
The calculation puts the formation energy at -0.55 eV per atom. The calculation puts the uncorrected energy at -3.57 eV per atom.



Entry from Alexandria via LeMat-Bulk: crystalline Er3Hg3Rh2 at its relaxed geometry (PBE-GGA).

The structure in extended XYZ format:
```
8
Lattice="3.544 0.000 0.000 0.000 6.575 -3.796 0.000 0.000 7.592" Properties=species:S:1:pos:R:3 pbc="T T T"
Er 1.772 3.806 -2.197
Er 1.772 0.000 4.395
Er 1.772 2.769 1.599
Rh 0.000 4.383 0.000
Rh 0.000 2.192 3.796
Hg 0.000 0.000 1.777
Hg 0.000 1.539 -0.889
Hg 0.000 5.036 2.908
```

Properties
The calculation puts the formation energy at -0.65 eV per atom. The calculation puts the uncorrected energy at -4.32 eV per atom.



Entry from Alexandria via LeMat-Bulk: crystalline Er3HgRh4 at its relaxed geometry (PBE-GGA).

The structure in extended XYZ format:
```
16
Lattice="4.695 0.000 0.000 0.000 6.819 0.000 0.000 0.000 9.389" Properties=species:S:1:pos:R:3 pbc="T T T"
Rh 2.347 5.158 4.695
Rh 4.693 5.158 2.347
Rh 0.002 1.661 7.042
Rh 2.347 5.158 0.000
Rh 4.693 1.661 2.347
Rh 2.347 1.661 4.695
Rh 2.347 1.661 0.000
Rh 0.002 5.158 7.042
Hg 0.000 3.410 4.695
Hg 0.000 3.410 0.000
Er 2.347 0.000 2.347
Er 0.000 0.000 0.000
Er 0.000 0.000 4.695
Er 2.348 0.000 7.042
Er 2.349 3.410 7.042
Er 2.346 3.410 2.347
```

Properties
The calculation puts the formation energy at -0.75 eV per atom. The calculation puts the uncorrected energy at -6.17 eV per atom.